Entry 1:
Computed, not measured: a relaxed Tb16Ho6Th7 crystal at the PBE-GGA level of DFT.

Summary:
Fermi-level density of states (states/eV per cell): 52.95
Uncorrected energy (eV/f.u.): -145.21
SG: Fm-3m (225)
Formation energy from the elements (eV/f.u.): 8.3
Total magnetization (μB per formula unit): 0.00

a = 11.249 Å, b = 11.249 Å, c = 11.249 Å
α = 60.00°, β = 60.00°, γ = 60.00°
Fractional positions:
Tb1 0.044 0.652 0.652
Tb2 0.130 0.130 0.130
Tb3 0.130 0.130 0.610
Tb4 0.130 0.610 0.130
Tb5 0.348 0.348 0.348
Tb6 0.348 0.348 0.956
Tb7 0.348 0.956 0.348
Tb8 0.390 0.870 0.870
Tb9 0.610 0.130 0.130
Tb10 0.652 0.044 0.652
Tb11 0.652 0.652 0.044
Tb12 0.652 0.652 0.652
Tb13 0.870 0.390 0.870
Tb14 0.870 0.870 0.390
Tb15 0.870 0.870 0.870
Tb16 0.956 0.348 0.348
Ho1 0.252 0.252 0.748
Ho2 0.252 0.748 0.252
Ho3 0.252 0.748 0.748
Ho4 0.748 0.252 0.252
Ho5 0.748 0.252 0.748
Ho6 0.748 0.748 0.252
Th1 0.000 0.000 0.000
Th2 0.000 0.000 0.500
Th3 0.000 0.500 0.000
Th4 0.000 0.500 0.500
Th5 0.500 0.000 0.000
Th6 0.500 0.000 0.500
Th7 0.500 0.500 0.000

Entry 2:
Computed, not measured: a relaxed Nd4ZnRu crystal at the PBE-GGA level of DFT.

Summary:
Fermi-level density of states (states/eV per cell): 14.01
Uncorrected energy (eV/f.u.): -30.72
Offset from the most stable computed form (meV/atom): 36.3
SG: C2/c (15)
Formation energy from the elements (eV/f.u.): -1.1
Total magnetization (μB per formula unit): 0.00

a = 8.170 Å, b = 8.170 Å, c = 6.290 Å
α = 104.39°, β = 104.39°, γ = 113.86°
Fractional positions:
Nd1 0.063 0.702 0.920
Nd2 0.215 0.352 0.677
Nd3 0.298 0.937 0.580
Nd4 0.352 0.215 0.177
Nd5 0.648 0.785 0.823
Nd6 0.702 0.063 0.420
Nd7 0.785 0.648 0.323
Nd8 0.937 0.298 0.080
Zn1 0.375 0.625 0.250
Zn2 0.625 0.375 0.750
Ru1 0.002 0.998 0.750
Ru2 0.998 0.002 0.250

Entry 3:
Computed, not measured: a relaxed Tb6HoZn crystal at the PBE-GGA level of DFT.

Summary:
Fermi-level density of states (states/eV per cell): 10.47
Uncorrected energy (eV/f.u.): -33.30
SG: R-3 (148)
Formation energy from the elements (eV/f.u.): 0.3
Total magnetization (μB per formula unit): 0.00

a = 6.264 Å, b = 6.264 Å, c = 6.264 Å
α = 95.37°, β = 95.37°, γ = 95.37°
Fractional positions:
Tb1 0.044 0.575 0.763
Tb2 0.237 0.956 0.425
Tb3 0.425 0.237 0.956
Tb4 0.575 0.763 0.044
Tb5 0.763 0.044 0.575
Tb6 0.956 0.425 0.237
Ho1 0.500 0.500 0.500
Zn1 0.000 0.000 0.000

Entry 4:
Computed, not measured: a relaxed AcPr2Ag2 crystal at the PBE-GGA level of DFT.

Summary:
Fermi-level density of states (states/eV per cell): 10.87
Uncorrected energy (eV/f.u.): -20.00
Offset from the most stable computed form (meV/atom): 54.8
SG: P2_1/m (11)
Formation energy from the elements (eV/f.u.): -0.6
Total magnetization (μB per formula unit): 0.00

a = 5.426 Å, b = 5.118 Å, c = 11.775 Å
α = 90.00°, β = 95.39°, γ = 90.00°
Fractional positions:
Ac1 0.200 0.250 0.245
Ac2 0.800 0.750 0.755
Pr1 0.251 0.750 0.493
Pr2 0.340 0.250 0.887
Pr3 0.660 0.750 0.113
Pr4 0.749 0.250 0.507
Ag1 0.139 0.750 0.003
Ag2 0.275 0.250 0.635
Ag3 0.725 0.750 0.365
Ag4 0.861 0.250 0.997

Entry 5:
Computed, not measured: a relaxed BaSmB12 crystal at the PBE-GGA level of DFT.

Summary:
Fermi-level density of states (states/eV per cell): 3.26
Uncorrected energy (eV/f.u.): -92.83
SG: Fm-3m (225)
Formation energy from the elements (eV/f.u.): -6.1
Total magnetization (μB per formula unit): 0.00

a = 5.932 Å, b = 5.932 Å, c = 5.932 Å
α = 60.00°, β = 60.00°, γ = 60.00°
Fractional positions:
Ba1 0.000 0.000 0.000
Sm1 0.500 0.500 0.500
B1 0.101 0.101 0.399
B2 0.101 0.399 0.101
B3 0.101 0.399 0.399
B4 0.399 0.101 0.101
B5 0.399 0.101 0.399
B6 0.399 0.399 0.101
B7 0.601 0.601 0.899
B8 0.601 0.899 0.601
B9 0.601 0.899 0.899
B10 0.899 0.601 0.601
B11 0.899 0.601 0.899
B12 0.899 0.899 0.601

Entry 6:
Computed, not measured: a relaxed La2MgBiIr crystal at the PBE-GGA level of DFT.

Summary:
Fermi-level density of states (states/eV per cell): 2.78
Uncorrected energy (eV/f.u.): -27.55
SG: P4/mmm (123)
Formation energy from the elements (eV/f.u.): -3.4
Total magnetization (μB per formula unit): 0.00

a = 5.522 Å, b = 5.522 Å, c = 5.087 Å
α = 90.00°, β = 90.00°, γ = 90.00°
Fractional positions:
La1 0.000 0.500 0.000
La2 0.500 0.000 0.000
Mg1 0.000 0.000 0.500
Bi1 0.500 0.500 0.500
Ir1 0.000 0.000 0.000

Entry 7:
Computed, not measured: a relaxed Ac3Te crystal at the PBE-GGA level of DFT.

Summary:
Fermi-level density of states (states/eV per cell): 5.12
Uncorrected energy (eV/f.u.): -17.76
Offset from the most stable computed form (meV/atom): 0.0
E_form (uncorrected) (meV/atom): -573
SG: Imm2 (44)
Total magnetization (μB per formula unit): 0.00

a = 6.845 Å, b = 6.845 Å, c = 6.845 Å
α = 144.45°, β = 76.62°, γ = 114.70°
Fractional positions:
Ac1 0.000 0.000 0.000
Ac2 0.215 0.415 0.800
Ac3 0.615 0.415 0.200
Te1 0.649 0.149 0.500

Entry 8:
Computed, not measured: a relaxed CrCdSi3 crystal at the PBE-GGA level of DFT.

Summary:
Fermi-level density of states (states/eV per cell): 0.07
Uncorrected energy (eV/f.u.): -24.98
Offset from the most stable computed form (meV/atom): 0.0
E_form (uncorrected) (meV/atom): 365
SG: Pm-3m (221)
Total magnetization (μB per formula unit): 0.00

a = 4.556 Å, b = 4.556 Å, c = 4.556 Å
α = 90.00°, β = 90.00°, γ = 90.00°
Fractional positions:
Cr1 0.000 0.000 0.000
Cd1 0.500 0.500 0.500
Si1 0.000 0.000 0.500
Si2 0.000 0.500 0.000
Si3 0.500 0.000 0.000

Entry 9:
Computed, not measured: a relaxed VAg3P crystal at the PBE-GGA level of DFT.

Summary:
Fermi-level density of states (states/eV per cell): 5.96
Uncorrected energy (eV/f.u.): -19.58
Offset from the most stable computed form (meV/atom): 0.0
SG: Pm-3m (221)
Formation energy from the elements (eV/f.u.): 3.5
Total magnetization (μB per formula unit): 4.14

a = 4.712 Å, b = 4.712 Å, c = 4.712 Å
α = 90.00°, β = 90.00°, γ = 90.00°
Fractional positions:
V1 0.000 0.000 0.000
Ag1 0.000 0.500 0.500
Ag2 0.500 0.000 0.500
Ag3 0.500 0.500 0.000
P1 0.500 0.500 0.500

Entry 10:
Computed, not measured: a relaxed PmHo2Os crystal at the PBE-GGA level of DFT.

Summary:
Fermi-level density of states (states/eV per cell): 2.53
Uncorrected energy (eV/f.u.): -25.72
Offset from the most stable computed form (meV/atom): 79.3
SG: P4/mmm (123)
Formation energy from the elements (eV/f.u.): -0.6
Total magnetization (μB per formula unit): 0.00

a = 3.407 Å, b = 3.407 Å, c = 9.248 Å
α = 90.00°, β = 90.00°, γ = 90.00°
Fractional positions:
Pm1 0.000 0.000 0.000
Ho1 0.500 0.500 0.322
Ho2 0.500 0.500 0.678
Os1 0.000 0.000 0.500

Entry 11:
Computed, not measured: a relaxed BeAlOs3 crystal at the PBE-GGA level of DFT.

Summary:
Fermi-level density of states (states/eV per cell): 5.66
Uncorrected energy (eV/f.u.): -31.66
Offset from the most stable computed form (meV/atom): 1312.7
SG: Pm-3m (221)
Formation energy from the elements (eV/f.u.): 9.5
Total magnetization (μB per formula unit): 1.42

a = 4.401 Å, b = 4.401 Å, c = 4.401 Å
α = 90.00°, β = 90.00°, γ = 90.00°
Fractional positions:
Be1 0.000 0.000 0.000
Al1 0.500 0.500 0.500
Os1 0.000 0.500 0.500
Os2 0.500 0.000 0.500
Os3 0.500 0.500 0.000

Entry 12:
Computed, not measured: a relaxed KVBW2 crystal at the PBE-GGA level of DFT.

Summary:
Fermi-level density of states (states/eV per cell): 8.22
Uncorrected energy (eV/f.u.): -36.12
SG: P4/mmm (123)
Formation energy from the elements (eV/f.u.): 6.7
Total magnetization (μB per formula unit): 0.00

a = 4.329 Å, b = 4.329 Å, c = 4.517 Å
α = 90.00°, β = 90.00°, γ = 90.00°
Fractional positions:
K1 0.000 0.000 0.000
V1 0.500 0.500 0.000
B1 0.500 0.500 0.500
W1 0.000 0.500 0.500
W2 0.500 0.000 0.500